## ThFeTe (PBE)

Data for crystalline ThFeTe at its relaxed geometry.

The structure belongs to space group C2/m (No. 12); the cell edges are 5.705, 5.556 and 10.184 Å and the angles 90.00°, 97.89° and 90.00°. The inequivalent atoms are Th at (0.170, 0.000, 0.174), Fe at (0.147, 0.500, 0.084) and Te at (0.208, 0.500, 0.347).

Its density is 8.63 g cm⁻³. The density of states at the Fermi level is 0.880 states/eV per atom. For the uncorrected formation energy, the calculation gives -108 kJ/mol of formula units. Its energy is -6.71 eV per atom. The crystal system is monoclinic.